Entry from Alexandria via LeMat-Bulk: a relaxed structure of PmEuHoHg (PBE).

The value obtained for the volume is 29.5 Å³/atom. The total magnetic moment comes out at 2.254 μB/atom. Its crystal system is cubic. For the density of states at the Fermi level, the calculation gives 22.35 states/eV/cell. The value obtained for the formation energy is -0.2 kJ/mol of atoms. The raw total energy comes out at -19.91 eV per formula unit.

The structure belongs to space group F-43m (No. 216); the cell edges are 7.789, 7.789 and 7.789 Å and the angles 90.00°, 90.00° and 90.00°. Symmetry generates all atoms from Pm at (0.000, 0.000, 0.000), Eu at (0.250, 0.250, 0.750), Ho at (0.250, 0.250, 0.250) and Hg at (0.000, 0.000, 0.500).